Here is an optimized crystal structure of Si2Se from the Alexandria database. Energies are from PBE-GGA.

raw formation energy = 0.6617 eV/atom
V = 220.7 Å³ per cell
excess energy over the best structure of this formula in the dataset = 0.830 eV per atom

Unit cell a=5.9757 b=3.2170 c=11.4789 alpha=90.00 beta=90.00 gamma=90.00
Fractional coordinates of all 6 atoms:
Si 0.1998 0.0000 0.0000
Si 0.1998 0.5000 0.5000
Si 0.8002 0.0000 0.0000
Si 0.8002 0.5000 0.5000
Se 0.0000 0.0000 0.6346
Se 0.0000 0.5000 0.1346